DFT (PBE) results for a relaxed structure of Tb3Dy4In2.

Cell lengths 5.3052, 6.7794, 9.4592 Å; angles 59.70, 73.75, 66.97 degrees
Fractional positions:
1 Dy 0.1219 0.4139 0.3427
2 Dy 0.8781 0.5861 0.6573
3 In 0.2122 0.8937 0.6818
4 Tb 0.0000 0.0000 0.0000
5 Tb 0.5754 0.1951 0.6540
6 Dy 0.3304 0.3743 0.9646
7 In 0.7878 0.1063 0.3182
8 Dy 0.6696 0.6257 0.0354
9 Tb 0.4246 0.8049 0.3460

Summary:
Symmetry = C2/m (12)
Crystal system = monoclinic
Energy of formation = -0.20 eV/atom
E_tot = -39.56 eV per cell
Calculated density = 8.377 Mg/m³